Material: SmTh2Si6
Method: DFT, PBE
State: optimized geometry

abc: 7.1330 7.1330 4.1577
angles: 90.00 90.00 120.00
Fractional positions:
Sm1 0.0000 0.0000 0.0000
Th1 0.3333 0.6667 0.0000
Th2 0.6667 0.3333 0.0000
Si1 0.0000 0.3332 0.5000
Si2 0.0000 0.6668 0.5000
Si3 0.3332 0.0000 0.5000
Si4 0.3332 0.3332 0.5000
Si5 0.6668 0.0000 0.5000
Si6 0.6668 0.6668 0.5000

## Properties
electronic total energy = -57.519 eV per cell
raw formation energy = -5.4 eV per formula unit